1.
Tb3Tm2S8: optimized geometry, PBE.

abc: 13.6312 7.8911 6.6854
angles: 90.00 110.29 90.00
Last column: nearest neighbours and their distance in Å.
Space group C2/m (No. 12)
Inequivalent atoms, fractional coordinates:
Tb1 0.0000 0.0000 0.0000 [2 per cell]  6 S 2.72-2.78
Tb2 0.0000 0.2632 0.5000 [4 per cell]  6 S 2.70-2.77
Tm1 0.2385 0.5000 0.1573 [4 per cell]  6 S 2.67-2.77
S1 0.1184 0.5000 0.3986 [4 per cell]  1 Tm 2.67, 2 Tb 2.70
S2 0.1191 0.0000 0.4322 [4 per cell]  1 Tm 2.76, 3 Tb 2.77-2.78
S3 0.1265 0.2350 0.9161 [8 per cell]  2 Tb 2.72-2.73, 2 Tm 2.76-2.77

Summary:
- total energy (eV/atom) = -6.1554
- magnetic moment (μB per atom) = 0.00

2.
LiPtAu: optimized geometry, PBE.

abc: 5.3810 8.2863 9.6530
angles: 90.00 90.00 90.00
Last column: nearest neighbours and their distance in Å.
Space group Fmmm (No. 69)
Inequivalent atoms, fractional coordinates:
Li1 0.0000 0.0000 0.1315 [8 per cell]  1 Li 2.54, 2 Pt 2.59, 4 Au 2.72
Pt1 0.0000 0.2273 0.5000 [8 per cell]  2 Li 2.59, 2 Pt 2.72, 4 Au 2.77
Au1 0.2500 0.2500 0.2500 [8 per cell]  2 Au 2.69, 4 Li 2.72, 4 Pt 2.77

Summary:
- formation enthalpy at 0 K (meV/atom) = -288
- total energy (eV/atom) = -4.0319
- magnetic moment (μB per atom) = 0.00

3.
LiReTc2: optimized geometry, PBE.

abc: 3.1044 3.1044 5.6582
angles: 90.00 90.00 90.00
Last column: nearest neighbours and their distance in Å.
Space group P4mm (No. 99)
Inequivalent atoms, fractional coordinates:
Li1 0.0000 0.0000 0.0000 [1 per cell]  5 Tc 2.52-2.82, 4 Re 2.55
Re1 0.5000 0.5000 0.2305 [1 per cell]  5 Tc 2.53-2.67, 4 Li 2.55
Tc1 0.0000 0.0000 0.4977 [1 per cell]  4 Re 2.67, 4 Tc 2.72, 2 Li 2.82-2.84
Tc2 0.5000 0.5000 0.7828 [1 per cell]  4 Li 2.52, 1 Re 2.53, 4 Tc 2.72

Summary:
- formation enthalpy at 0 K (meV/atom) = 320
- total energy (eV/atom) = -8.4539
- excess energy over the best structure of this formula in the dataset (meV/atom) = 189
- magnetic moment (μB per atom) = 0.00